P.
# Y2ZrNi2

A geometry-optimized Y2ZrNi2 structure (PBE, Alexandria via LeMat-Bulk).

Lattice parameters (Å, degrees): 3.7394 6.0641 9.3475 90.00 90.00 90.00
Last column: nearest neighbours and their distance in Å.
Space group Immm (No. 71)
Asymmetric unit:
1 Y 0.0000 0.0000 0.2000 (multiplicity 4)  4 Ni 2.92
2 Zr 0.0000 0.5000 0.0000 (multiplicity 2)  4 Ni 2.58
3 Ni 0.0000 0.2938 0.5000 (multiplicity 4)  1 Ni 2.50, 2 Zr 2.58

Summary:
Magnetization   0.000 μB per cell
DOS at the Fermi energy   11.94 states/eV per cell
Mass density   6.054 g/cm³
V   21.20 Å³/atom

Q.
# Y2ZrNi2

A geometry-optimized Y2ZrNi2 structure (PBE, Alexandria via LeMat-Bulk).

Lattice parameters (Å, degrees): 6.8010 6.8010 4.5177 90.00 90.00 90.00
Last column: nearest neighbours and their distance in Å.
Space group P4/mbm (No. 127)
Asymmetric unit:
1 Y 0.1749 0.3251 0.0000 (multiplicity 4)  6 Ni 2.96-3.07
2 Zr 0.0000 0.0000 0.5000 (multiplicity 2)  4 Ni 2.68
3 Ni 0.1267 0.6267 0.5000 (multiplicity 4)  1 Ni 2.44, 2 Zr 2.68

Summary:
Magnetization   0.000 μB per cell
DOS at the Fermi energy   10.39 states/eV per cell
Mass density   6.141 g/cm³
V   20.90 Å³/atom

If we sort the structures by their calculated energies, the order from most to least stable is P, Q.

P.
# ZrZnNi3

A geometry-optimized ZrZnNi3 structure (PBE, Alexandria via LeMat-Bulk).

Lattice parameters (Å, degrees): 4.3034 4.3034 4.3034 90.00 90.00 90.00
Last column: nearest neighbours and their distance in Å.
Space group Pm-3m (No. 221)
Asymmetric unit:
1 Zr 0.0000 0.0000 0.0000 (multiplicity 1)  12 Ni 3.04
2 Zn 0.5000 0.5000 0.5000 (multiplicity 1)  6 Ni 2.15
3 Ni 0.0000 0.5000 0.5000 (multiplicity 3)  2 Zn 2.15

Summary:
Magnetization   0.000 μB per cell
DOS at the Fermi energy   6.78 states/eV per cell
Mass density   6.933 g/cm³
V   15.94 Å³/atom

Q.
# ZrZnNi3

A geometry-optimized ZrZnNi3 structure (PBE, Alexandria via LeMat-Bulk).

Lattice parameters (Å, degrees): 4.8706 6.7727 8.4922 90.00 90.00 90.00
Last column: nearest neighbours and their distance in Å.
Space group Imma (No. 74)
Asymmetric unit:
1 Zr 0.0000 0.2500 0.0030 (multiplicity 4)  5 Ni 2.55-2.79
2 Zn 0.0000 0.0000 0.5000 (multiplicity 4)  6 Ni 2.38-2.48
3 Ni 0.0000 0.2500 0.3035 (multiplicity 4)  2 Zn 2.38, 6 Ni 2.46-2.60, 1 Zr 2.55
4 Ni 0.2500 0.0582 0.7500 (multiplicity 8)  5 Ni 2.44-2.60, 2 Zn 2.48

Summary:
Magnetization   0.000 μB per cell
DOS at the Fermi energy   14.91 states/eV per cell
Mass density   7.889 g/cm³
V   14.01 Å³/atom

If we sort the structures by their calculated energies, the order from most to least stable is Q, P.

P.
# Zr2Zn2Ni

A geometry-optimized Zr2Zn2Ni structure (PBE, Alexandria via LeMat-Bulk).

Lattice parameters (Å, degrees): 6.5499 6.5499 4.0611 90.00 90.00 90.00
Last column: nearest neighbours and their distance in Å.
Space group P4/mbm (No. 127)
Asymmetric unit:
1 Zr 0.1715 0.3285 0.0000 (multiplicity 4)  6 Zn 2.71-2.86
2 Zn 0.1343 0.6343 0.5000 (multiplicity 4)  1 Zn 2.49, 2 Ni 2.55, 2 Zr 2.71
3 Ni 0.0000 0.0000 0.5000 (multiplicity 2)  4 Zn 2.55

Summary:
Magnetization   0.000 μB per cell
DOS at the Fermi energy   12.32 states/eV per cell
Mass density   7.090 g/cm³
V   17.42 Å³/atom

Q.
# Zr2Zn2Ni

A geometry-optimized Zr2Zn2Ni structure (PBE, Alexandria via LeMat-Bulk).

Lattice parameters (Å, degrees): 3.9691 3.9691 12.3471 90.00 90.00 90.00
Last column: nearest neighbours and their distance in Å.
Space group I4/mmm (No. 139)
Asymmetric unit:
1 Zr 0.0000 0.5000 0.2500 (multiplicity 4)  4 Zn 2.79, 4 Zr 2.81
2 Zn 0.0000 0.0000 0.0910 (multiplicity 4)  1 Zn 2.25
3 Ni 0.0000 0.0000 0.5000 (multiplicity 2)  8 Zn 3.02

Summary:
Magnetization   0.000 μB per cell
DOS at the Fermi energy   7.24 states/eV per cell
Mass density   6.351 g/cm³
V   19.45 Å³/atom

If we sort the structures by their calculated energies, the order from most to least stable is P, Q.

P.
# Zr3Ni2

A geometry-optimized Zr3Ni2 structure (PBE, Alexandria via LeMat-Bulk).

Lattice parameters (Å, degrees): 9.4828 13.5912 5.5862 90.00 90.00 90.00
Last column: nearest neighbours and their distance in Å.
Space group Fdd2 (No. 43)
Asymmetric unit:
1 Zr 0.0000 0.0000 0.0000 (multiplicity 8)  4 Ni 2.68
2 Zr 0.0354 0.3894 0.9880 (multiplicity 16)  4 Ni 2.69-2.93, 2 Zr 2.78
3 Ni 0.0241 0.3037 0.5076 (multiplicity 16)  6 Zr 2.68-2.93

Summary:
Magnetization   0.000 μB per cell
DOS at the Fermi energy   41.58 states/eV per cell
Mass density   7.216 g/cm³
V   18.00 Å³/atom

Q.
# Zr3Ni2

A geometry-optimized Zr3Ni2 structure (PBE, Alexandria via LeMat-Bulk).

Lattice parameters (Å, degrees): 4.5023 4.5023 5.4119 90.00 90.00 120.00
Last column: nearest neighbours and their distance in Å.
Space group P-3m1 (No. 164)
Asymmetric unit:
1 Zr 0.0000 0.0000 0.0000 (multiplicity 1)  6 Ni 2.74
2 Zr 0.3333 0.6667 0.3452 (multiplicity 2)  5 Ni 2.69-2.79
3 Ni 0.3333 0.6667 0.8428 (multiplicity 2)  8 Zr 2.69-2.79

Summary:
Magnetization   0.011 μB per cell
DOS at the Fermi energy   9.76 states/eV per cell
Mass density   6.835 g/cm³
V   19.00 Å³/atom

R.
# Zr3Ni2

A geometry-optimized Zr3Ni2 structure (PBE, Alexandria via LeMat-Bulk).

Lattice parameters (Å, degrees): 3.2296 3.2296 31.0323 90.00 90.00 120.00
Last column: nearest neighbours and their distance in Å.
Space group R-3m (No. 166, hexagonal axes)
Asymmetric unit:
1 Zr 0.0000 0.0000 0.0000 (multiplicity 3)  6 Ni 2.66
2 Zr 0.0000 0.0000 0.2078 (multiplicity 6)  3 Ni 2.74
3 Ni 0.0000 0.0000 0.3944 (multiplicity 6)  6 Zr 2.66-2.74

Summary:
Magnetization   0.000 μB per cell
DOS at the Fermi energy   9.07 states/eV per cell
Mass density   6.950 g/cm³
V   18.69 Å³/atom

If we sort the structures by their calculated energies, the order from most to least stable is P, Q, R.

P.
# Zr3Ni4

A geometry-optimized Zr3Ni4 structure (PBE, Alexandria via LeMat-Bulk).

Lattice parameters (Å, degrees): 3.2993 3.2993 20.4000 90.00 90.00 90.00
Last column: nearest neighbours and their distance in Å.
Space group I4/mmm (No. 139)
Asymmetric unit:
1 Zr 0.0000 0.0000 0.0000 (multiplicity 2)  10 Ni 2.70-2.72
2 Zr 0.0000 0.0000 0.3022 (multiplicity 4)  5 Ni 2.67-2.68
3 Ni 0.0000 0.0000 0.1333 (multiplicity 4)  5 Zr 2.68-2.72, 4 Ni 2.70
4 Ni 0.0000 0.0000 0.4332 (multiplicity 4)  5 Zr 2.67-2.70, 5 Ni 2.70-2.73

Summary:
Magnetization   0.000 μB per cell
DOS at the Fermi energy   13.33 states/eV per cell
Mass density   7.604 g/cm³
V   15.86 Å³/atom

Q.
# Zr3Ni4

A geometry-optimized Zr3Ni4 structure (PBE, Alexandria via LeMat-Bulk).

Lattice parameters (Å, degrees): 12.0971 12.0971 5.2386 90.00 90.00 120.00
Last column: nearest neighbours and their distance in Å.
Space group R-3 (No. 148, hexagonal axes)
Asymmetric unit:
1 Zr 0.0414 0.8270 0.2289 (multiplicity 18)  8 Ni 2.55-2.84
2 Ni 0.0000 0.0000 0.0000 (multiplicity 3)  2 Ni 2.62, 6 Zr 2.67
3 Ni 0.0000 0.0000 0.5000 (multiplicity 3)  2 Ni 2.62, 6 Zr 2.77
4 Ni 0.0558 0.7818 0.7153 (multiplicity 18)  6 Zr 2.55-2.84, 3 Ni 2.63-2.72

Summary:
Magnetization   0.000 μB per cell
DOS at the Fermi energy   27.90 states/eV per cell
Mass density   7.630 g/cm³
V   15.81 Å³/atom

R.
# Zr3Ni4

A geometry-optimized Zr3Ni4 structure (PBE, Alexandria via LeMat-Bulk).

Lattice parameters (Å, degrees): 5.6834 5.6834 4.3515 90.00 90.00 120.00
Last column: nearest neighbours and their distance in Å.
Space group P6/mmm (No. 191)
Asymmetric unit:
1 Zr 0.0000 0.5000 0.0000 (multiplicity 3)  8 Ni 2.73-3.05, 4 Zr 2.84
2 Ni 0.0000 0.0000 0.2553 (multiplicity 2)  2 Ni 2.13-2.22
3 Ni 0.3333 0.6667 0.5000 (multiplicity 2)  6 Zr 2.73

Summary:
Magnetization   0.798 μB per cell
DOS at the Fermi energy   9.51 states/eV per cell
Mass density   6.936 g/cm³
V   17.39 Å³/atom

If we sort the structures by their calculated energies, the order from most to least stable is Q, P, R.

P.
# Zr5Ni4

A geometry-optimized Zr5Ni4 structure (PBE, Alexandria via LeMat-Bulk).

Lattice parameters (Å, degrees): 8.2570 8.2570 4.5332 90.00 90.00 90.00
Last column: nearest neighbours and their distance in Å.
Space group I4/mmm (No. 139)
Asymmetric unit:
1 Zr 0.0000 0.0000 0.0000 (multiplicity 2)  4 Ni 2.92, 8 Zr 3.09
2 Zr 0.1797 0.1797 0.5000 (multiplicity 8)  2 Ni 2.66, 4 Zr 2.80-2.97
3 Ni 0.0000 0.3536 0.0000 (multiplicity 8)  1 Ni 2.42, 2 Zr 2.66

Summary:
Magnetization   0.004 μB per cell
DOS at the Fermi energy   29.40 states/eV per cell
Mass density   7.424 g/cm³
V   17.17 Å³/atom

Q.
# Zr5Ni4

A geometry-optimized Zr5Ni4 structure (PBE, Alexandria via LeMat-Bulk).

Lattice parameters (Å, degrees): 8.3692 8.3692 5.2223 90.00 90.00 120.00
Last column: nearest neighbours and their distance in Å.
Space group P6_3/mcm (No. 193)
Asymmetric unit:
1 Zr 0.0000 0.2782 0.2500 (multiplicity 6)  5 Ni 2.63-2.83
2 Zr 0.3333 0.6667 0.0000 (multiplicity 4)  2 Zr 2.61, 6 Ni 2.85
3 Ni 0.0000 0.0000 0.0000 (multiplicity 2)  2 Ni 2.61, 6 Zr 2.67
4 Ni 0.0000 0.4072 0.7500 (multiplicity 6)  7 Zr 2.63-2.85

Summary:
Magnetization   0.001 μB per cell
DOS at the Fermi energy   24.12 states/eV per cell
Mass density   7.243 g/cm³
V   17.60 Å³/atom

If we sort the structures by their calculated energies, the order from most to least stable is Q, P.